Entry from Alexandria via LeMat-Bulk: a relaxed Ac2NdZn3In4 crystal (GGA-PBE).

Calculated values
Space group: P-4m2 (115)

Structure (POSCAR):
```
Ac2NdZn3In4
1.0
4.6742 0.0000 0.0000
0.0000 4.6742 0.0000
0.0000 0.0000 12.5508
In Nd Ac Zn
4 1 2 3
direct
0.5000 0.0000 0.6601
0.5000 0.5000 0.0000
0.0000 0.5000 0.3399
0.0000 0.0000 0.0000
0.5000 0.5000 0.5000
0.5000 0.0000 0.2275
0.0000 0.5000 0.7725
0.0000 0.5000 0.1272
0.0000 0.0000 0.5000
0.5000 0.0000 0.8728
```

Entry from Alexandria via LeMat-Bulk: a relaxed AcNd2Zn2In2 crystal (GGA-PBE).

Calculated values
Space group: R-3m (166)

Structure (POSCAR):
```
AcNd2Zn2In2
1.0
4.8148 0.0000 0.0000
2.4074 4.1697 0.0000
2.4074 1.3899 9.8483
Nd In Zn Ac
2 2 2 1
direct
0.8687 0.8687 0.3939
0.1313 0.1313 0.6061
0.2590 0.2590 0.2231
0.7410 0.7410 0.7769
0.5843 0.5843 0.2471
0.4157 0.4157 0.7529
0.0000 0.0000 0.0000
```

Entry from Alexandria via LeMat-Bulk: a relaxed Ac2In12Ni7 crystal (GGA-PBE).

Calculated values
Space group: P-6 (174)

Structure (POSCAR):
```
Ac2In12Ni7
1.0
-0.8646 -4.1465 -0.6676
9.0585 -2.7253 5.1953
-9.2476 1.0484 5.4643
Ni In Ac
7 12 2
direct
0.0000 0.7235 0.9393
0.5000 0.9206 0.3649
0.0000 0.0607 0.7842
0.5000 0.6351 0.5557
0.0000 0.2158 0.2765
0.0000 0.3333 0.6667
0.5000 0.4443 0.0794
0.0000 0.4824 0.9481
0.5000 0.5576 0.7618
0.0000 0.7820 0.7266
0.5000 0.9037 0.6138
0.0000 0.0519 0.5343
0.0000 0.2734 0.0553
0.5000 0.2382 0.7958
0.0000 0.9447 0.2180
0.5000 0.3862 0.2899
0.5000 0.7101 0.0963
0.5000 0.2042 0.4424
0.0000 0.4657 0.5176
0.5000 0.0000 0.0000
0.0000 0.6667 0.3333
```

Entry from Alexandria via LeMat-Bulk: a relaxed Ac8In2Ni crystal (GGA-PBE).

Calculated values
Space group: C2/m (12)

Structure (POSCAR):
```
Ac8In2Ni
1.0
-4.9433 -1.3534 -1.8018
-1.8415 -2.6211 7.0209
-0.6032 10.1333 2.2338
Ac In Ni
8 2 1
direct
0.6400 0.9943 0.2801
0.7879 0.6892 0.5759
0.4048 0.5176 0.8096
0.0098 0.7718 0.0196
0.3600 0.0057 0.7199
0.5952 0.4824 0.1904
0.9902 0.2282 0.9804
0.2121 0.3108 0.4241
0.1864 0.7577 0.3728
0.8136 0.2423 0.6272
0.5000 0.0000 0.0000
```

Entry from Alexandria via LeMat-Bulk: a relaxed AcIn9Ni2 crystal (GGA-PBE).

Calculated values
Space group: I4_1/amd (141)

Structure (POSCAR):
```
AcIn9Ni2
1.0
-2.9603 -5.8174 -3.6098
1.6785 -8.3303 4.3420
-8.8980 -1.9978 2.8103
In Ac Ni
18 2 4
direct
0.4330 0.8073 0.4355
0.4330 0.4355 0.8073
0.6186 0.0645 0.3073
0.7597 0.8073 0.5645
0.1314 0.1927 0.4355
0.9903 0.6927 0.9355
0.0742 0.3073 0.9355
0.9903 0.9355 0.6927
0.3170 0.6927 0.0645
0.6186 0.3073 0.0645
0.6758 0.5645 0.1927
0.0000 0.0000 0.0000
0.7597 0.5645 0.8073
0.3170 0.0645 0.6927
0.6758 0.1927 0.5645
0.7500 0.5000 0.5000
0.1314 0.4355 0.1927
0.0742 0.9355 0.3073
0.5000 0.0000 0.0000
0.2500 0.5000 0.5000
0.8750 0.2500 0.2500
0.3750 0.7500 0.7500
0.8750 0.2500 0.7500
0.8750 0.7500 0.2500
```

Entry from Alexandria via LeMat-Bulk: a relaxed AcIn2Ni9 crystal (GGA-PBE).

Calculated values
Space group: P4/mbm (127)

Structure (POSCAR):
```
AcIn2Ni9
1.0
4.8992 0.0000 0.0000
0.0000 8.4131 0.0000
0.0000 0.0000 8.4131
Ni In Ac
18 4 2
direct
0.7486 0.6757 0.8243
0.7486 0.3243 0.1757
0.2514 0.8243 0.3243
0.5000 0.7864 0.0679
0.5000 0.0679 0.2136
0.5000 0.9321 0.7864
0.5000 0.4321 0.7136
0.2514 0.3243 0.1757
0.5000 0.2864 0.4321
0.5000 0.7136 0.5679
0.2514 0.6757 0.8243
0.7486 0.1757 0.6757
0.2514 0.1757 0.6757
0.5000 0.5679 0.2864
0.7486 0.8243 0.3243
0.5000 0.0000 0.5000
0.5000 0.5000 0.0000
0.5000 0.2136 0.9321
0.0000 0.1226 0.3774
0.0000 0.6226 0.1226
0.0000 0.8774 0.6226
0.0000 0.3774 0.8774
0.0000 0.0000 0.0000
0.0000 0.5000 0.5000
```

Entry from Alexandria via LeMat-Bulk: a relaxed Ac7In2Ni2 crystal (GGA-PBE).

Calculated values
Space group: Cmmm (65)

Structure (POSCAR):
```
Ac7In2Ni2
1.0
7.4056 -0.0031 -1.0765
0.0030 7.5981 0.0037
-1.5358 -0.0023 7.3241
Ac In Ni
7 2 2
direct
0.4997 0.2487 0.0002
0.0002 0.7513 0.4997
0.0000 0.0000 0.0000
0.5002 0.7630 0.4998
0.4998 0.2370 0.5002
0.9998 0.2487 0.5003
0.5003 0.7513 0.9998
0.8329 0.5000 0.8329
0.1671 0.5000 0.1671
0.7051 0.0000 0.2949
0.2949 0.0000 0.7051
```

Entry from Alexandria via LeMat-Bulk: a relaxed AcIn6Ni2 crystal (GGA-PBE).

Calculated values
Space group: Fd-3m (227)

Structure (POSCAR):
```
AcIn6Ni2
1.0
8.9666 0.0000 0.0000
4.4833 7.7653 0.0000
4.4833 2.5884 7.3212
Ac In Ni
2 12 4
direct
0.7500 0.7500 0.7500
0.5000 0.5000 0.5000
0.0290 0.4710 0.4710
0.7790 0.2210 0.2210
0.4710 0.0290 0.0290
0.7790 0.7790 0.2210
0.7790 0.2210 0.7790
0.2210 0.7790 0.7790
0.2210 0.7790 0.2210
0.0290 0.4710 0.0290
0.0290 0.0290 0.4710
0.2210 0.2210 0.7790
0.4710 0.0290 0.4710
0.4710 0.4710 0.0290
0.1250 0.1250 0.1250
0.6250 0.1250 0.1250
0.1250 0.6250 0.1250
0.1250 0.1250 0.6250
```

Number 1: raw total energy -3.10 eV per atom, E_form -0.33 eV/atom. Number 2: raw total energy -3.40 eV per atom, E_form -0.30 eV/atom. Number 3: raw total energy -4.09 eV per atom, E_form -0.21 eV/atom. Number 4: raw total energy -4.17 eV per atom, E_form -0.16 eV/atom. Number 5: raw total energy -3.41 eV per atom, E_form -0.05 eV/atom. Number 6: raw total energy -5.31 eV per atom, E_form -0.17 eV/atom. Number 7: raw total energy -4.34 eV per atom, E_form -0.17 eV/atom. Number 8: raw total energy -3.51 eV per atom, E_form 0.06 eV/atom.